Record 1
Material: Sm2NbO6
Method: DFT, PBE-GGA
State: optimized geometry

abc: 5.157 5.157 10.353
angles: 90.00 90.00 90.00
Space group P4_2/mnm (No. 136)
Unique sites:
Sm: 0.000 0.000 0.169 x4
Nb: 0.000 0.000 0.500 x2
O: 0.184 0.184 0.354 x8
O: 0.221 0.221 0.000 x4

Output
- Energy relative to the elements, uncorrected: -2.8131 eV per atom

=====

Record 2
Material: Sm2MgZr
Method: DFT, PBE-GGA
State: optimized geometry

abc: 3.2601 3.2601 36.7707
angles: 90.00 90.00 120.00
Space group R-3m (No. 166, hexagonal axes)
Unique sites:
Sm: 0.0000 0.0000 0.0869 x6
Mg: 0.0000 0.0000 0.5000 x3
Zr: 0.0000 0.0000 0.0000 x3

Output
- E_form: 124 kJ/mol of formula units
- Polymorph energy (0 for the lowest one): 300.8 meV per atom

=====

Record 3
Material: Pm5MgSn2
Method: DFT, PBE-GGA
State: optimized geometry

abc: 4.594 11.314 18.323
angles: 90.00 90.00 90.00
Space group Cmcm (No. 63)
Unique sites:
Pm: 0.000 0.037 0.098 x8
Pm: 0.000 0.332 0.044 x8
Pm: 0.000 0.441 0.250 x4
Mg: 0.000 0.159 0.250 x4
Sn: 0.000 0.262 0.652 x8

Output
- E_form: -233 kJ/mol of formula units

=====

Record 4
Material: CaGaMo2Ru
Method: DFT, PBE-GGA
State: optimized geometry

abc: 4.750 4.750 4.684
angles: 90.00 90.00 90.00
Space group P4/mmm (No. 123)
Unique sites:
Ca: 0.000 0.000 0.000 x1
Ga: 0.500 0.500 0.500 x1
Mo: 0.000 0.500 0.500 x2
Ru: 0.500 0.500 0.000 x1

Output
- E_form: 567 kJ/mol of formula units